BaLaCuS3 | PBE-GGA | optimized geometry

Unit cell a=11.3423 b=4.2497 c=11.8590 alpha=90.00 beta=90.00 gamma=90.00
With the nearest neighbours (Å) after each atom.
Fractional coordinates of all 24 atoms:
Ba1 0.1833 0.2500 0.0073  7 S 3.15-3.26, 3 Cu 3.41-3.46
Ba2 0.3167 0.7500 0.5073  7 S 3.15-3.26, 3 Cu 3.41-3.46
Ba3 0.6833 0.2500 0.4927  7 S 3.15-3.26, 3 Cu 3.41-3.46
Ba4 0.8167 0.7500 0.9927  7 S 3.15-3.26, 3 Cu 3.41-3.46
La1 0.0107 0.2500 0.6817  7 S 2.92-3.08
La2 0.4893 0.7500 0.1817  7 S 2.92-3.08
La3 0.5107 0.2500 0.8183  7 S 2.92-3.08
La4 0.9893 0.7500 0.3183  7 S 2.92-3.08
Cu1 0.2469 0.7500 0.7911  4 S 2.33-2.39
Cu2 0.2531 0.2500 0.2911  4 S 2.33-2.39
Cu3 0.7469 0.7500 0.7089  4 S 2.33-2.39
Cu4 0.7531 0.2500 0.2089  4 S 2.33-2.39
S1 0.0504 0.7500 0.8487  1 Cu 2.33
S2 0.1109 0.2500 0.4400  1 Cu 2.39
S3 0.2252 0.7500 0.2042  2 Cu 2.38
S4 0.2748 0.2500 0.7042  2 Cu 2.38
S5 0.3891 0.7500 0.9400  1 Cu 2.39
S6 0.4496 0.2500 0.3487  1 Cu 2.33
S7 0.5504 0.7500 0.6513  1 Cu 2.33
S8 0.6109 0.2500 0.0600  1 Cu 2.39
S9 0.7252 0.7500 0.2958  2 Cu 2.38
S10 0.7748 0.2500 0.7958  2 Cu 2.38
S11 0.8891 0.7500 0.5600  1 Cu 2.39
S12 0.9496 0.2500 0.1513  1 Cu 2.33

Summary:
- SG = No. 62
- total DFT energy (no corrections) (eV per atom) = -5.5464

***

BaLaCuS3 | PBE-GGA | optimized geometry

Unit cell a=8.7872 b=4.1263 c=8.9662 alpha=90.00 beta=103.00 gamma=90.00
With the nearest neighbours (Å) after each atom.
Fractional coordinates of all 12 atoms:
Ba1 0.1849 0.2500 0.2381  7 S 3.20-3.32, 1 Cu 3.48
Ba2 0.8151 0.7500 0.7619  7 S 3.20-3.32, 1 Cu 3.48
La1 0.3278 0.7500 0.8289  6 S 2.82-2.94
La2 0.6722 0.2500 0.1711  6 S 2.82-2.94
Cu1 0.0814 0.2500 0.5911  4 S 2.35-2.46
Cu2 0.9186 0.7500 0.4089  4 S 2.35-2.46
S1 0.1078 0.2500 0.8580  1 Cu 2.35
S2 0.1935 0.7500 0.5120  3 Cu 2.38-2.46
S3 0.4385 0.7500 0.1633  3 La 2.90-2.94, 2 Ba 3.22
S4 0.5615 0.2500 0.8367  3 La 2.90-2.94, 2 Ba 3.22
S5 0.8065 0.2500 0.4880  3 Cu 2.38-2.46
S6 0.8922 0.7500 0.1420  1 Cu 2.35

Summary:
- SG = No. 11
- total DFT energy (no corrections) (eV per atom) = -5.5240

***

BaLaCuS3 | PBE-GGA | optimized geometry

Unit cell a=9.1281 b=4.1903 c=15.4685 alpha=90.00 beta=90.00 gamma=90.00
With the nearest neighbours (Å) after each atom.
Fractional coordinates of all 24 atoms:
Ba1 0.0779 0.2500 0.2008  7 S 3.14-3.25
Ba2 0.4221 0.7500 0.7008  7 S 3.14-3.25
Ba3 0.5779 0.2500 0.2992  7 S 3.14-3.25
Ba4 0.9221 0.7500 0.7992  7 S 3.14-3.25
La1 0.2018 0.7500 0.4548  6 S 2.85-2.95
La2 0.2982 0.2500 0.9548  6 S 2.85-2.95
La3 0.7018 0.7500 0.0452  6 S 2.85-2.95
La4 0.7982 0.2500 0.5452  6 S 2.85-2.95
Cu1 0.1315 0.2500 0.6335  4 S 2.35-2.44
Cu2 0.3685 0.7500 0.1335  4 S 2.35-2.44
Cu3 0.6315 0.2500 0.8665  4 S 2.35-2.44
Cu4 0.8685 0.7500 0.3665  4 S 2.35-2.44
S1 0.0045 0.7500 0.6023  2 Cu 2.44
S2 0.1560 0.7500 0.0475  1 Cu 2.35
S3 0.1875 0.2500 0.7822  1 Cu 2.36
S4 0.3125 0.7500 0.2822  1 Cu 2.36
S5 0.3440 0.2500 0.5475  1 Cu 2.35
S6 0.4955 0.2500 0.1023  2 Cu 2.44
S7 0.5045 0.7500 0.8977  2 Cu 2.44
S8 0.6560 0.7500 0.4525  1 Cu 2.35
S9 0.6875 0.2500 0.7178  1 Cu 2.36
S10 0.8125 0.7500 0.2178  1 Cu 2.36
S11 0.8440 0.2500 0.9525  1 Cu 2.35
S12 0.9955 0.2500 0.3977  2 Cu 2.44

Summary:
- SG = No. 62
- total DFT energy (no corrections) (eV per atom) = -5.5288